[1]
Here is crystalline CdInIr2 at its relaxed geometry from the Alexandria database. Energies are from PBEsol.

a b c (Å): 4.1777 4.1777 3.7531
angles (deg): 90.00 90.00 90.00
Element x y z (fractional)
Cd1 0.0000 0.0000 0.0000
In1 0.5000 0.5000 0.0000
Ir1 0.0000 0.5000 0.5000
Ir2 0.5000 0.0000 0.5000

Total moment (μB per cell): 0.000
Raw total energy (eV per atom): -5.83

[2]
Here is crystalline KCdIn2 at its relaxed geometry from the Alexandria database. Energies are from PBEsol.

a b c (Å): 3.5849 3.5849 8.7702
angles (deg): 90.00 90.00 90.00
Element x y z (fractional)
K1 0.0000 0.0000 0.0000
Cd1 0.0000 0.0000 0.5000
In1 0.5000 0.5000 0.2994
In2 0.5000 0.5000 0.7006

Total moment (μB per cell): 0.000
Raw total energy (eV per atom): -2.12

[3]
Here is crystalline KCd2In at its relaxed geometry from the Alexandria database. Energies are from PBEsol.

a b c (Å): 3.1838 4.2623 8.0862
angles (deg): 90.00 90.00 90.00
Element x y z (fractional)
K1 0.0000 0.0000 0.0000
Cd1 0.0000 0.0000 0.4887
Cd2 0.5000 0.5000 0.3034
In1 0.5000 0.5000 0.6907

Total moment (μB per cell): 0.000
Raw total energy (eV per atom): -1.63

[4]
Here is crystalline KCdIn2 at its relaxed geometry from the Alexandria database. Energies are from PBEsol.

a b c (Å): 3.2388 4.4722 7.8196
angles (deg): 90.00 96.86 90.00
Element x y z (fractional)
K1 0.0000 0.0000 0.0000
Cd1 0.0000 0.0000 0.5000
In1 0.4332 0.5000 0.6975
In2 0.5668 0.5000 0.3025

Total moment (μB per cell): 0.000
Raw total energy (eV per atom): -2.12

Number 1: DFT formation energy 123 meV per atom. Number 2: DFT formation energy -48 meV per atom. Number 3: DFT formation energy -6 meV per atom. Number 4: DFT formation energy -45 meV per atom.